(1)
Here is an optimized crystal structure of Ga3PbS from the Alexandria database. Energies are from PBE-GGA.

Computed properties:
* ρ: 6.0 g/cm3
* energy relative to the elements, uncorrected: 119 kJ/mol of formula units
* offset from the most stable computed form: 0.00 kJ/mol of atoms
* total DFT energy (no corrections): -3.14 eV/atom
* crystal system: cubic

Lattice parameters (Å, degrees): 4.9743 4.9743 4.9743 90.00 90.00 90.00
Closest atoms and distances in Å follow each position.
Space group Pm-3m (No. 221)
One atom of each set of equivalent atoms:
Ga 0.0000 0.0000 0.5000  2 S 2.49
Pb 0.5000 0.5000 0.5000  12 Ga 3.52
S 0.0000 0.0000 0.0000  6 Ga 2.49

(2)
Here is an optimized crystal structure of Ga2Pb2S5 from the Alexandria database. Energies are from PBE-GGA.

Computed properties:
* ρ: 5.5 g/cm3
* energy relative to the elements, uncorrected: -405 kJ/mol of formula units
* offset from the most stable computed form: 15.98 kJ/mol of atoms
* total DFT energy (no corrections): -4.26 eV/atom
* crystal system: monoclinic

Lattice parameters (Å, degrees): 12.7340 5.2418 6.7553 90.00 106.27 90.00
Closest atoms and distances in Å follow each position.
Space group C2/m (No. 12)
One atom of each set of equivalent atoms:
Ga 0.1543 0.0000 0.3787  3 S 2.26-2.33
Pb 0.1162 0.5000 0.8119  4 S 2.82-3.02
S 0.0000 0.0000 0.5000  2 Ga 2.33
S 0.1532 0.0000 0.0432  1 Ga 2.26
S 0.1685 0.5000 0.4155  1 Ga 2.29

> What is the energy relative to the elements, uncorrected in the second record?

-405 kJ/mol of formula units

> Among the records above, which one has the highest total DFT energy (no corrections)?

Ga3PbS